# 1
First-principles (GGA-PBE) data for Hf2TaHg after structural relaxation, as listed in Alexandria via LeMat-Bulk.

```
Hf2TaHg
1.0
-2.081 2.081 10.193
2.081 -2.081 10.193
2.081 2.081 -10.193
Hf Ta Hg
4 2 2
Cartesian
3.122 1.010 -2.548
1.010 1.041 2.548
-1.041 1.071 7.645
1.071 1.041 12.741
0.000 0.000 0.000
0.000 2.081 5.097
2.081 0.000 5.097
0.000 0.000 10.193
```

Computed properties:
energy of formation from the pure elements: 0.6431 eV per atom

---

# 2
First-principles (GGA-PBE) data for Pr8Tm6In after structural relaxation, as listed in Alexandria via LeMat-Bulk.

```
Pr8Tm6In
1.0
9.335 0.000 0.000
-4.668 8.084 0.000
0.000 0.000 6.589
Pr Tm In
8 6 1
Cartesian
-3.177 6.195 1.169
0.891 2.236 1.169
2.382 0.346 5.420
0.000 5.390 0.926
4.668 2.695 5.663
2.286 7.738 1.169
3.777 5.848 5.420
7.844 1.890 5.420
-2.113 5.282 4.346
1.150 3.613 4.346
3.704 0.811 2.242
0.963 7.274 4.346
3.517 4.471 2.242
6.781 2.803 2.242
0.000 0.000 3.294
```

Computed properties:
energy of formation from the pure elements: 0.0806 eV per atom

---

# 3
First-principles (GGA-PBE) data for HfPa2AlN6 after structural relaxation, as listed in Alexandria via LeMat-Bulk.

```
HfPa2AlN6
1.0
2.807 1.621 4.711
-2.807 1.621 4.711
0.000 -3.241 4.711
Hf Pa Al N
1 2 1 6
Cartesian
0.000 0.000 0.000
0.000 0.000 3.887
0.000 0.000 10.966
0.000 0.000 7.005
-1.594 0.169 5.606
-1.140 -1.400 7.924
0.651 -1.465 5.606
-0.642 1.688 7.924
0.943 1.296 5.606
1.782 -0.288 7.924
```

Computed properties:
ΔE_f (raw): -1.300 eV/atom

---

no.,mass density (kg/m3)
1,13890
2,7533
3,9704